*w*
Entry from the Alexandria database: a relaxed B2C crystal (PBE-GGA).

Cell: 2.727 2.727 16.039 Å, 90.00 90.00 120.00°
Fractional coordinates of all 12 atoms:
B: 0.333 0.667 0.462
B: 0.333 0.667 0.896
B: 0.333 0.667 0.354
B: 0.667 0.333 0.730
B: 0.667 0.333 0.489
B: 0.000 0.000 0.835
B: 0.667 0.333 0.204
B: 0.333 0.667 0.005
C: 0.000 0.000 0.737
C: 0.667 0.333 0.007
C: 0.000 0.000 0.217
C: 0.000 0.000 0.313

*x*
Entry from the Alexandria database: a relaxed B2C crystal (PBE-GGA).

Cell: 2.566 4.679 6.730 Å, 88.94 90.00 90.00°
Fractional coordinates of all 12 atoms:
B: 0.250 0.143 0.679
B: 0.750 0.557 0.142
B: 0.250 0.120 0.984
B: 0.250 0.145 0.328
B: 0.250 0.443 0.858
B: 0.750 0.857 0.321
B: 0.750 0.880 0.016
B: 0.750 0.855 0.672
C: 0.750 0.631 0.857
C: 0.250 0.369 0.143
C: 0.250 0.409 0.510
C: 0.750 0.591 0.490

The structure shown above that is least stable: *w*.